First-principles (PBE) data for a relaxed structure of TbHoPSe, as listed in Alexandria.

abc: 7.334 7.334 7.334
angles: 31.38 31.38 31.38
Atoms (fractional coordinates):
1 Tb 0.000 0.000 0.000
2 Ho 0.815 0.815 0.815
3 P 0.410 0.410 0.410
4 Se 0.239 0.239 0.239

* E_form (uncorrected): -6.88 eV/f.u.